Entry 1:
The following is a DFT calculation (PBE) of a relaxed structure of TbMgH.

Geometry as POSCAR:
```
TbMgH
1.0
-1.608 1.608 6.002
1.608 -1.608 6.002
1.608 1.608 -6.002
Tb Mg H
1 1 1
Direct
0.000 0.000 0.000
0.283 0.283 0.000
0.520 0.520 0.000
```

N(E_F): 2.23 states/eV per cell
energy above the lowest structure with this stoichiometry: 0.60 eV per formula unit



Entry 2:
The following is a DFT calculation (PBE) of a relaxed structure of Tb2MgH.

Geometry as POSCAR:
```
Tb2MgH
1.0
1.789 1.033 8.129
-1.789 1.033 8.129
0.000 -2.066 8.129
Tb Mg H
2 1 1
Direct
0.223 0.223 0.223
0.777 0.777 0.777
0.000 0.000 0.000
0.500 0.500 0.500
```

N(E_F): 3.90 states/eV per cell
E: -3.7146 eV per atom